[1]
The following is a DFT calculation (PBE) of a geometry-optimized TlInHg2Ru structure.

Output
The value obtained for the total energy is -1.770 eV per atom. As for the energy of formation: 1.227 eV per atom. The space group is P4/mmm. Its calculated volume is 168.9 Å³ per cell.

a = 5.4233 Å, b = 5.7432 Å, c = 5.4233 Å
α = 90.00°, β = 90.00°, γ = 90.00°
Closest atoms and distances in Å follow each position.
Fractional positions:
Hg 0.0000 0.0000 0.5000  2 In 2.71
Hg 0.5000 0.0000 0.0000  2 In 2.71
Tl 0.0000 0.5000 0.0000  2 In 2.87
In 0.0000 0.0000 0.0000  4 Hg 2.71, 2 Tl 2.87
Ru 0.5000 0.5000 0.5000  4 Tl 3.83, 8 Hg 3.95


[2]
The following is a DFT calculation (PBE) of a geometry-optimized TmInHgRu structure.

Output
The value obtained for the total energy is -4.295 eV per atom. As for the energy of formation: -0.098 eV per atom. The space group is F-43m. Its calculated volume is 81.3 Å³ per cell.

a = 4.8617 Å, b = 4.8617 Å, c = 4.8617 Å
α = 60.00°, β = 60.00°, γ = 60.00°
Closest atoms and distances in Å follow each position.
Fractional positions:
Hg 0.2500 0.2500 0.2500  4 In 2.98, 4 Tm 2.98
Ru 0.7500 0.7500 0.7500  4 Tm 2.98, 4 In 2.98
Tm 0.5000 0.5000 0.5000  4 Hg 2.98, 4 Ru 2.98
In 0.0000 0.0000 0.0000  4 Ru 2.98, 4 Hg 2.98


[3]
The following is a DFT calculation (PBE) of a geometry-optimized ZnIn2HgRu structure.

Output
The value obtained for the total energy is -2.922 eV per atom. As for the energy of formation: 0.344 eV per atom. The space group is P4/mmm. Its calculated volume is 135.6 Å³ per cell.

a = 5.0791 Å, b = 5.2575 Å, c = 5.0791 Å
α = 90.00°, β = 90.00°, γ = 90.00°
Closest atoms and distances in Å follow each position.
Fractional positions:
Zn 0.5000 0.5000 0.5000  4 Hg 3.59, 8 In 3.66
Hg 0.0000 0.5000 0.0000  2 Ru 2.63
Ru 0.0000 0.0000 0.0000  4 In 2.54, 2 Hg 2.63
In 0.5000 0.0000 0.0000  2 Ru 2.54
In 0.0000 0.0000 0.5000  2 Ru 2.54


[4]
The following is a DFT calculation (PBE) of a geometry-optimized In3HgS structure.

Output
Its energy above the most stable polymorph in this dataset is 462 meV/atom. The value obtained for the total energy is -2.198 eV per atom. The space group is Pm-3m. As for the uncorrected formation energy: 331 meV/atom. Its calculated volume is 163.3 Å³ per cell.

a = 5.4655 Å, b = 5.4655 Å, c = 5.4655 Å
α = 90.00°, β = 90.00°, γ = 90.00°
Closest atoms and distances in Å follow each position.
Fractional positions:
Hg 0.0000 0.0000 0.0000  6 In 2.73
In 0.0000 0.0000 0.5000  2 Hg 2.73
In 0.5000 0.0000 0.0000  2 Hg 2.73
In 0.0000 0.5000 0.0000  2 Hg 2.73
S 0.5000 0.5000 0.5000  12 In 3.86